No. 1
Computed, not measured: a relaxed SrMgGeAu2 crystal at the PBE level of DFT.

a = 4.4705 Å, b = 4.2513 Å, c = 6.7644 Å
α = 108.32°, β = 109.30°, γ = 90.00°
With the nearest neighbours (Å) after each atom.
Positions (direct):
Au 0.7035 0.2035 0.4071  2 Ge 2.61
Ge 0.8294 0.8294 0.6587  3 Au 2.59-2.61, 2 Mg 2.77
Au 0.0447 0.0447 0.0895  1 Ge 2.59, 2 Mg 2.78
Sr 0.4415 0.4415 0.8829  6 Au 3.33-3.63, 4 Ge 3.37, 2 Mg 3.67
Mg 0.1931 0.6931 0.3861  2 Ge 2.77, 6 Au 2.78-3.09

Summary:
Its space-group type is Imm2.

=====

No. 2
Computed, not measured: a relaxed SrMgGe2Au4 crystal at the PBE level of DFT.

a = 4.5887 Å, b = 4.5887 Å, c = 9.7357 Å
α = 76.37°, β = 76.37°, γ = 60.00°
With the nearest neighbours (Å) after each atom.
Positions (direct):
Au 0.1388 0.1388 0.5836  3 Mg 2.76, 4 Ge 2.94-2.98, 3 Au 3.08
Ge 0.7565 0.7565 0.7303  7 Au 2.72-2.98
Au 0.4015 0.4015 0.7956  3 Ge 2.72, 1 Mg 2.77
Sr 0.0000 0.0000 0.0000  6 Au 3.27, 6 Ge 3.66
Au 0.8612 0.8612 0.4164  3 Mg 2.76, 4 Ge 2.94-2.98, 3 Au 3.08
Au 0.5985 0.5985 0.2044  3 Ge 2.72, 1 Mg 2.77
Mg 0.5000 0.5000 0.5000  8 Au 2.76-2.77
Ge 0.2434 0.2434 0.2697  7 Au 2.72-2.98

Summary:
Its space-group type is R-3m.

=====

No. 3
Computed, not measured: a relaxed ThMgGeAu crystal at the PBE level of DFT.

a = 5.0387 Å, b = 5.0387 Å, c = 5.0387 Å
α = 60.00°, β = 60.00°, γ = 60.00°
With the nearest neighbours (Å) after each atom.
Positions (direct):
Ge 0.2500 0.2500 0.2500  4 Mg 3.09, 4 Th 3.09
Th 0.0000 0.0000 0.0000  4 Ge 3.09, 4 Au 3.09
Mg 0.5000 0.5000 0.5000  4 Ge 3.09, 4 Au 3.09
Au 0.7500 0.7500 0.7500  4 Th 3.09, 4 Mg 3.09

Summary:
Its space-group type is F-43m.

=====

No. 4
Computed, not measured: a relaxed MgGeW2Au crystal at the PBE level of DFT.

a = 4.6817 Å, b = 4.7828 Å, c = 4.6817 Å
α = 90.00°, β = 90.00°, γ = 90.00°
With the nearest neighbours (Å) after each atom.
Positions (direct):
W 0.5000 0.0000 0.0000  2 Ge 2.34
Au 0.0000 0.5000 0.0000  2 Ge 2.39
Mg 0.5000 0.5000 0.5000  4 Au 3.31, 8 W 3.35
W 0.0000 0.0000 0.5000  2 Ge 2.34
Ge 0.0000 0.0000 0.0000  4 W 2.34, 2 Au 2.39

Summary:
Its space-group type is P4/mmm.

=====

No. 5
Computed, not measured: a relaxed YMgGeAu crystal at the PBE level of DFT.

a = 4.9233 Å, b = 4.9233 Å, c = 4.9233 Å
α = 60.00°, β = 60.00°, γ = 60.00°
With the nearest neighbours (Å) after each atom.
Positions (direct):
Au 0.7500 0.7500 0.7500  4 Mg 3.01, 4 Y 3.01
Mg 0.0000 0.0000 0.0000  4 Ge 3.01, 4 Au 3.01
Ge 0.2500 0.2500 0.2500  4 Mg 3.01, 4 Y 3.01
Y 0.5000 0.5000 0.5000  4 Ge 3.01, 4 Au 3.01

Summary:
Its space-group type is F-43m.

=====

No. 6
Computed, not measured: a relaxed MgZrGeAu crystal at the PBE level of DFT.

a = 4.7740 Å, b = 4.7740 Å, c = 4.7740 Å
α = 60.00°, β = 60.00°, γ = 60.00°
With the nearest neighbours (Å) after each atom.
Positions (direct):
Mg 0.2500 0.2500 0.2500  4 Au 2.92, 4 Ge 2.92
Au 0.0000 0.0000 0.0000  4 Mg 2.92, 4 Zr 2.92
Ge 0.5000 0.5000 0.5000  4 Zr 2.92, 4 Mg 2.92
Zr 0.7500 0.7500 0.7500  4 Ge 2.92, 4 Au 2.92

Summary:
Its space-group type is F-43m.

=====

No. 7
Computed, not measured: a relaxed MnGeAu3 crystal at the PBE level of DFT.

a = 4.7997 Å, b = 4.7997 Å, c = 4.7997 Å
α = 90.00°, β = 90.00°, γ = 90.00°
With the nearest neighbours (Å) after each atom.
Positions (direct):
Au 0.0000 0.5000 0.0000  2 Mn 2.40
Ge 0.5000 0.5000 0.5000  12 Au 3.39
Mn 0.0000 0.0000 0.0000  6 Au 2.40
Au 0.5000 0.0000 0.0000  2 Mn 2.40
Au 0.0000 0.0000 0.5000  2 Mn 2.40

Summary:
Its relative energy among the computed polymorphs is 484 meV per atom. Its space-group type is Pm-3m.

=====

No. 8
Computed, not measured: a relaxed MnGeAu3 crystal at the PBE level of DFT.

a = 4.8539 Å, b = 4.8539 Å, c = 4.8539 Å
α = 90.00°, β = 90.00°, γ = 90.00°
With the nearest neighbours (Å) after each atom.
Positions (direct):
Au 0.0000 0.5000 0.0000  2 Ge 2.43
Mn 0.5000 0.5000 0.5000  12 Au 3.43
Au 0.0000 0.0000 0.5000  2 Ge 2.43
Au 0.5000 0.0000 0.0000  2 Ge 2.43
Ge 0.0000 0.0000 0.0000  6 Au 2.43

Summary:
Its relative energy among the computed polymorphs is 0 meV per atom. Its space-group type is Pm-3m.

=====

No. 9
Computed, not measured: a relaxed Nd2MnGe4Au3 crystal at the PBE level of DFT.

a = 4.2908 Å, b = 4.2908 Å, c = 11.1872 Å
α = 90.00°, β = 90.00°, γ = 90.00°
With the nearest neighbours (Å) after each atom.
Positions (direct):
Ge 0.5000 0.0000 0.6316  3 Au 2.52-2.60, 2 Mn 2.60
Nd 0.5000 0.0000 0.2588  8 Ge 3.27-3.60, 6 Au 3.30-3.45, 2 Mn 3.45
Mn 0.5000 0.5000 0.5000  4 Ge 2.60
Au 0.0000 0.0000 0.5000  4 Ge 2.60
Au 0.0000 0.5000 0.1430  5 Ge 2.52-2.68
Nd 0.0000 0.5000 0.7412  8 Ge 3.27-3.60, 6 Au 3.30-3.45, 2 Mn 3.45
Au 0.5000 0.0000 0.8570  5 Ge 2.52-2.68
Ge 0.5000 0.5000 0.0000  4 Au 2.68
Ge 0.0000 0.0000 0.0000  4 Au 2.68
Ge 0.0000 0.5000 0.3684  3 Au 2.52-2.60, 2 Mn 2.60

Summary:
Its space-group type is P-4m2.

=====

No. 10
Computed, not measured: a relaxed MnNiGeAu crystal at the PBE level of DFT.

a = 4.3611 Å, b = 4.3611 Å, c = 4.3611 Å
α = 60.00°, β = 60.00°, γ = 60.00°
With the nearest neighbours (Å) after each atom.
Positions (direct):
Au 0.0000 0.0000 0.0000  4 Mn 2.67, 4 Ni 2.67
Mn 0.7500 0.7500 0.7500  4 Au 2.67, 4 Ge 2.67
Ge 0.5000 0.5000 0.5000  4 Ni 2.67, 4 Mn 2.67
Ni 0.2500 0.2500 0.2500  4 Ge 2.67, 4 Au 2.67

Summary:
Its space-group type is F-43m.

=====

No. 11
Computed, not measured: a relaxed Mn2GePbAu crystal at the PBE level of DFT.

a = 4.7275 Å, b = 5.4956 Å, c = 4.7275 Å
α = 90.00°, β = 90.00°, γ = 90.00°
With the nearest neighbours (Å) after each atom.
Positions (direct):
Ge 0.0000 0.0000 0.0000  4 Mn 2.36
Mn 0.0000 0.0000 0.5000  2 Ge 2.36
Pb 0.0000 0.5000 0.0000  2 Ge 2.75
Au 0.5000 0.5000 0.5000  4 Pb 3.34, 8 Mn 3.62
Mn 0.5000 0.0000 0.0000  2 Ge 2.36

Summary:
Its space-group type is P4/mmm.

=====

No. 12
Computed, not measured: a relaxed MnGePdAu crystal at the PBE level of DFT.

a = 4.5206 Å, b = 4.5206 Å, c = 4.5206 Å
α = 60.00°, β = 60.00°, γ = 60.00°
With the nearest neighbours (Å) after each atom.
Positions (direct):
Au 0.5000 0.5000 0.5000  4 Mn 2.77, 4 Ge 2.77
Pd 0.0000 0.0000 0.0000  4 Ge 2.77, 4 Mn 2.77
Mn 0.7500 0.7500 0.7500  4 Pd 2.77, 4 Au 2.77
Ge 0.2500 0.2500 0.2500  4 Au 2.77, 4 Pd 2.77

Summary:
Its space-group type is F-43m.

=====

Number 1: energy of formation -2.87 eV per formula unit, D(E_F) 2.56 states/eV per cell. Number 2: energy of formation -3.13 eV per formula unit, D(E_F) 1.67 states/eV per cell. Number 3: energy of formation -2.11 eV per formula unit, D(E_F) 3.84 states/eV per cell. Number 4: energy of formation 6.63 eV per formula unit, D(E_F) 5.76 states/eV per cell. Number 5: energy of formation -2.56 eV per formula unit, D(E_F) 1.11 states/eV per cell. Number 6: energy of formation -1.54 eV per formula unit, D(E_F) 3.14 states/eV per cell. Number 7: energy of formation 5.14 eV per formula unit, D(E_F) 10.38 states/eV per cell. Number 8: energy of formation 2.72 eV per formula unit, D(E_F) 2.33 states/eV per cell. Number 9: energy of formation -5.03 eV per formula unit, D(E_F) 4.91 states/eV per cell. Number 10: energy of formation -0.01 eV per formula unit, D(E_F) 2.15 states/eV per cell. Number 11: energy of formation 3.40 eV per formula unit, D(E_F) 3.61 states/eV per cell. Number 12: energy of formation -0.49 eV per formula unit, D(E_F) 2.16 states/eV per cell.